[1]
Below is NaCeHg14 after structural relaxation, with properties calculated at the PBE-GGA level.

Calculated volume (Å³/cell): 419.9
Size of the total moment (μB/atom): 0.0829
DFT formation energy (eV/f.u.): -1.9

abc: 6.8490 6.8490 8.9520
angles: 90.00 90.00 90.00
With the nearest neighbours (Å) after each atom.
Space group P4/mmm (No. 123)
Unique sites:
Na 0.0000 0.0000 0.0000 x1  12 Hg 3.28-3.42
Ce 0.5000 0.5000 0.0000 x1  12 Hg 3.33-3.42
Hg 0.0000 0.0000 0.5000 x1  12 Hg 3.26-3.42
Hg 0.0000 0.5000 0.0000 x2  8 Hg 3.31, 2 Ce 3.42, 2 Na 3.42
Hg 0.0000 0.5000 0.5000 x2  12 Hg 3.29-3.42
Hg 0.2462 0.2462 0.2517 x8  10 Hg 3.26-3.48, 1 Na 3.28, 1 Ce 3.33
Hg 0.5000 0.5000 0.5000 x1  12 Hg 3.31-3.42

=====

[2]
Below is Ac3Pm4Sm3 after structural relaxation, with properties calculated at the PBE-GGA level.

Calculated volume (Å³/cell): 759.4
Size of the total moment (μB/atom): 0.0000
DFT formation energy (eV/f.u.): 0.8

abc: 3.8824 13.9121 14.0597
angles: 90.00 90.00 90.00
With the nearest neighbours (Å) after each atom.
Space group Amm2 (No. 38)
Unique sites:
Ac 0.0000 0.0000 0.0000 x2  6 Pm 3.54-3.65, 2 Ac 3.88
Ac 0.5000 0.2478 0.5786 x4  4 Pm 3.78-4.06, 4 Ac 3.88-4.16, 6 Sm 4.09-4.19
Pm 0.5000 0.0000 0.2108 x2  1 Pm 3.42, 4 Sm 3.51, 2 Ac 3.54
Pm 0.5000 0.0000 0.4542 x2  6 Sm 3.41-3.54, 1 Pm 3.42
Pm 0.5000 0.1259 0.8187 x4  4 Sm 3.42-3.50, 1 Pm 3.50, 3 Ac 3.65-3.78
Sm 0.0000 0.0000 0.6533 x2  6 Pm 3.41-3.50
Sm 0.0000 0.1720 0.3302 x4  6 Pm 3.42-3.54

=====

[3]
Below is Ca2CuMoH after structural relaxation, with properties calculated at the PBE-GGA level.

Calculated volume (Å³/cell): 110.3
Size of the total moment (μB/atom): 0.3418
Energy above the most stable polymorph in this dataset (meV per atom): 0

abc: 5.6639 5.6639 3.4383
angles: 90.00 90.00 90.00
With the nearest neighbours (Å) after each atom.
Space group P4/mmm (No. 123)
Unique sites:
Ca 0.0000 0.5000 0.0000 x2  2 Mo 2.83
Cu 0.0000 0.0000 0.5000 x1  8 Ca 3.31, 2 Cu 3.44
Mo 0.5000 0.5000 0.0000 x1  2 H 1.72
H 0.5000 0.5000 0.5000 x1  2 Mo 1.72

=====

[4]
Below is V2ZnCuCl after structural relaxation, with properties calculated at the PBE-GGA level.

Calculated volume (Å³/cell): 108.1
Size of the total moment (μB/atom): 1.4681
Uncorrected formation energy (eV per atom): 1.124

abc: 4.8760 4.8760 4.5469
angles: 90.00 90.00 90.00
With the nearest neighbours (Å) after each atom.
Space group P4/mmm (No. 123)
Unique sites:
V 0.0000 0.5000 0.0000 x2  2 Cu 2.44
Zn 0.0000 0.0000 0.5000 x1  8 V 3.33, 4 Cl 3.45
Cu 0.5000 0.5000 0.0000 x1  2 Cl 2.27, 4 V 2.44
Cl 0.5000 0.5000 0.5000 x1  2 Cu 2.27